--- 1 ---
Crystalline InTcF2 at its relaxed geometry. Source: the Alexandria database, functional GGA-PBE.

Crystal system: tetragonal
Total moment: 10.335 Bohr magnetons per cell

abc: 4.026 4.026 15.599
angles: 90.00 90.00 90.00
Space group I-42d (No. 122)
Inequivalent atoms, fractional coordinates:
In (0.000, 0.000, 0.000) [4 per cell]
Tc (0.000, 0.000, 0.500) [4 per cell]
F (0.195, 0.250, 0.625) [8 per cell]

=====

--- 2 ---
Crystalline InTcF2 at its relaxed geometry. Source: the Alexandria database, functional GGA-PBE.

Crystal system: trigonal
Total moment: 0.000 Bohr magnetons per cell

abc: 2.8588 2.8588 24.8949
angles: 90.00 90.00 120.00
Space group R-3m (No. 166, hexagonal axes)
Inequivalent atoms, fractional coordinates:
In (0.0000, 0.0000, 0.0000) [3 per cell]
Tc (0.0000, 0.0000, 0.5000) [3 per cell]
F (0.0000, 0.0000, 0.4199) [6 per cell]

=====

Which of them is the least stable? Correct choice: 1.

=====

--- 1 ---
Crystalline InTcF2 at its relaxed geometry. Source: the Alexandria database, functional GGA-PBE.

Crystal system: trigonal
Total moment: 0.002 Bohr magnetons per cell

abc: 2.8263 2.8263 25.0140
angles: 90.00 90.00 120.00
Space group R-3m (No. 166, hexagonal axes)
Inequivalent atoms, fractional coordinates:
In (0.0000, 0.0000, 0.0000) [3 per cell]
Tc (0.0000, 0.0000, 0.5000) [3 per cell]
F (0.0000, 0.0000, 0.0916) [6 per cell]

=====

--- 2 ---
Crystalline InTcF2 at its relaxed geometry. Source: the Alexandria database, functional GGA-PBE.

Crystal system: cubic
Total moment: 14.674 Bohr magnetons per cell

abc: 6.272 6.272 6.272
angles: 90.00 90.00 90.00
Space group Fm-3m (No. 225)
Inequivalent atoms, fractional coordinates:
In (0.000, 0.000, 0.000) [4 per cell]
Tc (0.000, 0.000, 0.500) [4 per cell]
F (0.250, 0.250, 0.250) [8 per cell]

=====

Which of them is the least stable? Correct choice: 2.

=====

--- 1 ---
Crystalline InTcF at its relaxed geometry. Source: the Alexandria database, functional GGA-PBE.

Crystal system: monoclinic
Total moment: 0.000 Bohr magnetons per cell

abc: 10.294 3.113 7.479
angles: 90.00 107.70 90.00
Space group Cm (No. 8)
Inequivalent atoms, fractional coordinates:
In (0.000, 0.000, 0.000) [2 per cell]
In (0.168, 0.000, 0.634) [2 per cell]
Tc (0.223, 0.500, 0.964) [2 per cell]
Tc (0.340, 0.000, 0.197) [2 per cell]
F (0.046, 0.500, 0.419) [2 per cell]
F (0.297, 0.000, 0.449) [2 per cell]

=====

--- 2 ---
Crystalline InTcF at its relaxed geometry. Source: the Alexandria database, functional GGA-PBE.

Crystal system: monoclinic
Total moment: 0.001 Bohr magnetons per cell

abc: 4.971 2.858 7.148
angles: 90.00 97.35 90.00
Space group Pm (No. 6)
Inequivalent atoms, fractional coordinates:
In (0.000, 0.000, 0.000) [1 per cell]
In (0.424, 0.000, 0.649) [1 per cell]
Tc (0.505, 0.500, 0.038) [1 per cell]
Tc (0.650, 0.500, 0.344) [1 per cell]
F (0.048, 0.500, 0.361) [1 per cell]
F (0.969, 0.000, 0.682) [1 per cell]

=====

--- 3 ---
Crystalline InTcF at its relaxed geometry. Source: the Alexandria database, functional GGA-PBE.

Crystal system: triclinic
Total moment: 0.000 Bohr magnetons per cell

abc: 3.406 5.221 6.640
angles: 83.60 89.79 89.66
Space group P1 (No. 1)
Inequivalent atoms, fractional coordinates:
In (0.000, 0.000, 0.000) [1 per cell]
In (0.006, 0.716, 0.548) [1 per cell]
Tc (0.004, 0.451, 0.188) [1 per cell]
Tc (0.504, 0.570, 0.960) [1 per cell]
F (0.012, 0.151, 0.419) [1 per cell]
F (0.508, 0.345, 0.729) [1 per cell]

=====

Which of them is the least stable? Correct choice: 2.